[1]
A plane-wave DFT calculation with PBE was carried out for a geometry-optimized CeDy2ErTh structure.

Summary:
Calculated volume   327.7 Å³ per cell
DFT formation energy   0.329 eV per atom

Lattice parameters (Å, degrees): 8.6203 6.1458 6.1850 90.00 90.44 90.00
With the nearest neighbours (Å) after each atom.
Fractional positions:
Ce  0.0000  0.0000  0.0000  2 Ce 3.09, 2 Th 3.18
Ce  0.0000  0.0000  0.5000  2 Ce 3.09, 2 Th 3.18
Dy  0.3137  0.2896  0.2477  1 Th 3.14, 1 Dy 3.21, 1 Er 3.38
Dy  0.3137  0.7104  0.7477  1 Th 3.14, 1 Dy 3.21, 1 Er 3.38
Dy  0.6863  0.2896  0.2523  1 Th 3.14, 1 Dy 3.21, 1 Er 3.38
Dy  0.6863  0.7104  0.7523  1 Th 3.14, 1 Dy 3.21, 1 Er 3.38
Er  0.5000  0.1947  0.7500  8 Dy 3.38-3.55
Er  0.5000  0.8053  0.2500  8 Dy 3.38-3.55
Th  0.0000  0.4512  0.7500  2 Dy 3.14, 2 Th 3.15, 2 Ce 3.18
Th  0.0000  0.5488  0.2500  2 Dy 3.14, 2 Th 3.15, 2 Ce 3.18

---

[2]
A plane-wave DFT calculation with PBE was carried out for a geometry-optimized SrTlBr2 structure.

Summary:
Calculated volume   304.0 Å³ per cell
Uncorrected formation energy   -4.78 eV/f.u.
Distance to the lowest polymorph of the same formula   0.153 eV per atom

Lattice parameters (Å, degrees): 7.3661 7.3661 7.3661 105.99 105.99 116.67
With the nearest neighbours (Å) after each atom.
Fractional positions:
Sr  0.0000  0.0000  0.0000  4 Br 3.04
Sr  0.7500  0.2500  0.5000  4 Br 3.04
Tl  0.2500  0.7500  0.5000  4 Br 3.55, 2 Sr 3.87
Tl  0.5000  0.5000  0.0000  4 Br 3.55, 2 Sr 3.87
Br  0.0825  0.6250  0.9575  2 Sr 3.04
Br  0.3750  0.3325  0.4575  2 Sr 3.04
Br  0.6675  0.1250  0.0425  2 Sr 3.04
Br  0.8750  0.9175  0.5425  2 Sr 3.04

---

| no. | calculated density (g/cm³) |
| --- | --- |
| 1 | 8.8 |
| 2 | 4.9 |